Entry from Alexandria via LeMat-Bulk: a relaxed structure of Li3YNi2O6 (PBE with a Hubbard U).

Space-group type ... No. 15
Crystal system ... monoclinic
Polymorph energy (0 for the lowest one) ... 0 meV/atom
E ... -5.672 eV/atom

```
Li3YNi2O6
1.0
2.592 -4.712 0.000
2.592 4.712 0.000
-2.525 0.000 9.924
Li Y Ni O
6 2 4 12
Direct
0.039 0.961 0.750 Li
0.285 0.715 0.250 Li
0.438 0.562 0.750 Li
0.562 0.438 0.250 Li
0.715 0.285 0.750 Li
0.961 0.039 0.250 Li
0.000 0.500 0.500 Y
0.500 0.000 0.000 Y
0.167 0.331 0.999 Ni
0.331 0.167 0.499 Ni
0.669 0.833 0.501 Ni
0.833 0.669 0.001 Ni
0.066 0.183 0.608 O
0.099 0.557 0.883 O
0.183 0.066 0.108 O
0.310 0.465 0.381 O
0.443 0.901 0.617 O
0.465 0.310 0.881 O
0.535 0.690 0.119 O
0.557 0.099 0.383 O
0.690 0.535 0.619 O
0.817 0.934 0.892 O
0.901 0.443 0.117 O
0.934 0.817 0.392 O
```